Computed, not measured: crystalline TiVZnTc at its relaxed geometry at the PBE level of DFT.

total energy	-7.359	eV per atom
total moment	0.001	μB/cell
symmetry	F-43m (216)

Unit cell a=4.345 b=4.345 c=4.345 alpha=60.00 beta=60.00 gamma=60.00
Element x y z (fractional)
Ti (0.250, 0.250, 0.250)
Zn (0.000, 0.000, 0.000)
Tc (0.500, 0.500, 0.500)
V (0.750, 0.750, 0.750)